Record 1
{
  "formula": "Tm3Ga9Ni2",
  "functional": "PBE",
  "state": "optimized geometry",
  "lattice": [[-1.698, -2.157, 3.103], [4.267, -6.782, 0.387], [4.973, 1.039, 6.208]],
  "species": ["Ni", "Ga", "Ni", "Tm", "Ga", "Ga", "Ga", "Ga", "Ga", "Tm", "Ga", "Ga", "Ga", "Tm"],
  "frac_coords": [[0.500, 0.286, 0.714], [0.126, 0.155, 0.593], [0.500, 0.714, 0.286], [0.318, 0.682, 0.682], [0.660, 0.710, 0.970], [0.874, 0.845, 0.407], [0.126, 0.593, 0.155], [0.340, 0.030, 0.290], [0.874, 0.407, 0.845], [0.682, 0.318, 0.318], [0.340, 0.290, 0.030], [0.000, 0.500, 0.500], [0.660, 0.970, 0.710], [0.000, 0.000, 0.000]],
  "spacegroup": "Immm (71)",
  "crystal_system": "orthorhombic",
  "delta_e_f_ev_per_atom": -0.543,
  "n_ef_per_ev_cell": 4.83,
  "m_tot_mub_per_fu": 0.0
}



Record 2
{
  "formula": "LiIn2Au2",
  "functional": "PBE",
  "state": "optimized geometry",
  "lattice": [[-0.890, 6.861, 2.665], [-6.680, 0.375, -3.195], [-1.617, -1.457, 3.210]],
  "species": ["In", "Au", "In", "Au", "Au", "Au", "In", "Li", "Li", "In"],
  "frac_coords": [[0.164, 0.664, 0.500], [0.358, 0.858, 0.000], [0.836, 0.336, 0.500], [0.142, 0.358, 0.000], [0.642, 0.142, 0.000], [0.858, 0.642, 0.000], [0.336, 0.164, 0.500], [0.000, 0.000, 0.000], [0.500, 0.500, 0.000], [0.664, 0.836, 0.500]],
  "spacegroup": "P4/mbm (127)",
  "crystal_system": "tetragonal",
  "delta_e_f_ev_per_atom": -0.271,
  "polymorph_energy_mev_per_atom": 85,
  "n_ef_per_ev_cell": 3.43,
  "m_tot_mub_per_fu": 0.0
}



Record 3
{
  "formula": "LaTb2Nd",
  "functional": "PBE",
  "state": "optimized geometry",
  "lattice": [[5.177, 0.000, 0.000], [0.000, 10.146, 0.000], [0.000, 0.000, 5.178]],
  "species": ["Tb", "Nd", "Tb", "Tb", "Nd", "La", "Tb", "La"],
  "frac_coords": [[0.750, 0.000, 0.750], [0.250, 0.250, 0.750], [0.750, 0.500, 0.750], [0.250, 0.500, 0.250], [0.750, 0.750, 0.250], [0.750, 0.250, 0.250], [0.250, 0.000, 0.250], [0.250, 0.750, 0.750]],
  "spacegroup": "I4/mmm (139)",
  "crystal_system": "tetragonal",
  "delta_e_f_ev_per_atom": 0.022,
  "polymorph_energy_mev_per_atom": 11,
  "n_ef_per_ev_cell": 12.56,
  "m_tot_mub_per_fu": 0.0
}



Record 4
{
  "formula": "PaIn3Br2Cl6",
  "functional": "PBE",
  "state": "optimized geometry",
  "lattice": [[-4.384, 0.393, 4.395], [-0.381, -9.162, 0.440], [6.047, 4.612, 5.493]],
  "species": ["Cl", "Cl", "Pa", "In", "Cl", "Br", "In", "In", "Cl", "Br", "Cl", "Cl"],
  "frac_coords": [[0.733, 0.871, 0.743], [0.730, 0.267, 0.137], [0.500, 0.000, 0.000], [0.500, 0.500, 0.500], [0.267, 0.129, 0.257], [0.224, 0.670, 0.340], [0.500, 0.000, 0.500], [0.000, 0.500, 0.000], [0.270, 0.130, 0.863], [0.776, 0.330, 0.660], [0.730, 0.870, 0.137], [0.270, 0.733, 0.863]],
  "spacegroup": "C2/m (12)",
  "crystal_system": "monoclinic",
  "n_ef_per_ev_cell": 1.59,
  "m_tot_mub_per_fu": 0.1,
  "raw_formation_energy_mev_per_atom": -1267
}



Record 5
{
  "formula": "In2GaPdCl",
  "functional": "PBE",
  "state": "optimized geometry",
  "lattice": [[5.242, 0.000, 0.000], [0.000, 5.242, 0.000], [0.000, 0.000, 4.834]],
  "species": ["In", "In", "Cl", "Ga", "Pd"],
  "frac_coords": [[0.000, 0.500, 0.000], [0.500, 0.000, 0.000], [0.500, 0.500, 0.500], [0.000, 0.000, 0.500], [0.000, 0.000, 0.000]],
  "spacegroup": "P4/mmm (123)",
  "crystal_system": "tetragonal",
  "n_ef_per_ev_cell": 0.69,
  "m_tot_mub_per_fu": 0.0,
  "raw_formation_energy_mev_per_atom": -472
}



Record 6
{
  "formula": "BaIn2RhAu",
  "functional": "PBE",
  "state": "optimized geometry",
  "lattice": [[5.090, 0.000, 0.000], [0.000, 5.090, 0.000], [0.000, 0.000, 5.467]],
  "species": ["In", "In", "Au", "Ba", "Rh"],
  "frac_coords": [[0.000, 0.500, 0.000], [0.500, 0.000, 0.000], [0.000, 0.000, 0.500], [0.500, 0.500, 0.500], [0.000, 0.000, 0.000]],
  "spacegroup": "P4/mmm (123)",
  "crystal_system": "tetragonal",
  "delta_e_f_ev_per_atom": -0.373,
  "n_ef_per_ev_cell": 2.01,
  "m_tot_mub_per_fu": 0.0
}